{"formula": "LiCaTlSi", "functional": "PBE-GGA", "state": "optimized geometry", "lattice": [[-2.439, -1.262, 4.236], [1.806, -3.674, 2.954], [1.999, 1.129, 4.496]], "species": ["Ca", "Tl", "Li", "Si"], "fractional_positions": [[0.000, 0.000, 0.000], [0.250, 0.250, 0.250], [0.500, 0.500, 0.500], [0.750, 0.750, 0.750]], "raw_formation_energy_mev_per_atom": -192, "space_group": "No. 216"}

{"formula": "Li2CaY2Si2", "functional": "PBE-GGA", "state": "optimized geometry", "lattice": [[-3.489, 2.410, -1.586], [-4.001, -0.150, 2.113], [-0.057, 7.647, 5.285]], "species": ["Ca", "Y", "Si", "Li", "Li", "Si", "Y"], "fractional_positions": [[0.000, 0.000, 0.000], [0.872, 0.872, 0.384], [0.745, 0.745, 0.764], [0.595, 0.595, 0.214], [0.405, 0.405, 0.786], [0.255, 0.255, 0.236], [0.128, 0.128, 0.616]], "raw_formation_energy_mev_per_atom": -393, "space_group": "No. 166"}